Material: LaSbTe2C
Method: DFT, SCAN
State: single point on PBEsol structure

Cell and atoms, written as POSCAR:
```
LaSbTe2C
1.0
4.910 0.000 0.000
0.000 4.910 0.000
0.000 0.000 4.807
La Sb Te C
1 1 2 1
Direct
0.000 0.000 0.000
0.500 0.500 0.000
0.000 0.500 0.500
0.500 0.000 0.500
0.500 0.500 0.500
```

- DFT total energy: -32.82 eV per atom
- Density: 7.563 g/cm³
- Crystal system: tetragonal
- Formation energy (no corrections): 0.1705 eV per atom

***

Material: LaScC2
Method: DFT, SCAN
State: single point on PBEsol structure

Cell and atoms, written as POSCAR:
```
LaScC2
1.0
0.000 3.054 3.054
3.054 0.000 3.054
3.054 3.054 0.000
La Sc C
1 1 2
Direct
0.000 0.000 0.000
0.500 0.500 0.500
0.250 0.250 0.250
0.750 0.750 0.750
```

- DFT total energy: -18.84 eV per atom
- Formation energy from the elements: 0.545 eV/atom
- Density: 6.059 g/cm³
- Crystal system: cubic

***

Material: LaCSe2
Method: DFT, SCAN
State: single point on PBEsol structure

Cell and atoms, written as POSCAR:
```
LaCSe2
1.0
2.102 1.214 7.153
-2.102 1.214 7.153
0.000 -2.428 7.153
La C Se
1 1 2
Direct
0.000 0.000 0.000
0.500 0.500 0.500
0.416 0.416 0.416
0.584 0.584 0.584
```

- DFT total energy: -23.19 eV per atom
- Density: 4.683 g/cm³
- Crystal system: trigonal
- Formation energy (no corrections): 0.1474 eV per atom

***

Material: La2CSe
Method: DFT, SCAN
State: single point on PBEsol structure

Cell and atoms, written as POSCAR:
```
La2CSe
1.0
-3.554 3.554 4.002
3.554 -3.554 4.002
3.554 3.554 -4.002
La C Se
4 2 2
Direct
0.060 0.125 0.435
0.375 0.940 0.065
0.690 0.625 0.565
0.875 0.310 0.935
0.000 0.000 0.000
0.750 0.250 0.500
0.250 0.750 0.500
0.500 0.500 0.000
```

- DFT total energy: -30.20 eV per atom
- Density: 6.056 g/cm³
- Crystal system: tetragonal
- Formation energy (no corrections): -1.1031 eV per atom

***

Material: SrLaC2
Method: DFT, SCAN
State: single point on PBEsol structure

Cell and atoms, written as POSCAR:
```
SrLaC2
1.0
0.000 3.256 3.256
3.256 0.000 3.256
3.256 3.256 0.000
Sr La C
1 1 2
Direct
0.000 0.000 0.000
0.500 0.500 0.500
0.250 0.250 0.250
0.750 0.750 0.750
```

- DFT total energy: -20.47 eV per atom
- Formation energy from the elements: 0.922 eV/atom
- Density: 6.025 g/cm³
- Crystal system: cubic

***

Material: SrLaC2
Method: DFT, SCAN
State: single point on PBEsol structure

Cell and atoms, written as POSCAR:
```
SrLaC2
1.0
-3.324 3.324 3.835
3.324 -3.324 3.835
3.324 3.324 -3.835
Sr La C
2 2 4
Direct
0.000 0.000 0.000
0.750 0.250 0.500
0.250 0.750 0.500
0.500 0.500 0.000
0.156 0.625 0.031
0.375 0.406 0.531
0.594 0.125 0.969
0.875 0.844 0.469
```

- DFT total energy: -20.54 eV per atom
- Formation energy from the elements: 0.858 eV/atom
- Density: 4.910 g/cm³
- Crystal system: tetragonal

***

Material: SrLa2TeC
Method: DFT, SCAN
State: single point on PBEsol structure

Cell and atoms, written as POSCAR:
```
SrLa2TeC
1.0
5.818 0.000 0.000
0.000 5.818 0.000
0.000 0.000 4.259
Sr La Te C
1 2 1 1
Direct
0.000 0.000 0.000
0.000 0.500 0.000
0.500 0.000 0.000
0.500 0.500 0.500
0.000 0.000 0.500
```

- DFT total energy: -30.29 eV per atom
- Density: 5.818 g/cm³
- Crystal system: tetragonal
- Formation energy (no corrections): 0.8778 eV per atom

***

Material: LaTbC4
Method: DFT, SCAN
State: single point on PBEsol structure

Cell and atoms, written as POSCAR:
```
LaTbC4
1.0
3.761 -1.870 0.000
3.761 1.870 0.000
-3.476 0.000 6.387
La Tb C
1 1 4
Direct
0.000 0.000 0.000
0.500 0.500 0.500
0.190 0.190 0.780
0.296 0.296 0.682
0.704 0.704 0.318
0.810 0.810 0.220
```

- DFT total energy: -22.01 eV per atom
- Formation energy from the elements: -0.301 eV/atom
- Density: 6.393 g/cm³
- Crystal system: monoclinic

***

Material: La3TeC
Method: DFT, SCAN
State: single point on PBEsol structure

Cell and atoms, written as POSCAR:
```
La3TeC
1.0
5.824 0.000 0.000
0.000 5.824 0.000
0.000 0.000 5.824
La Te C
3 1 1
Direct
0.000 0.000 0.500
0.000 0.500 0.000
0.500 0.000 0.000
0.000 0.000 0.000
0.500 0.500 0.500
```

- DFT total energy: -34.31 eV per atom
- Density: 4.677 g/cm³
- Crystal system: cubic
- Formation energy (no corrections): 1.0223 eV per atom

***

Material: LaTe2C2
Method: DFT, SCAN
State: single point on PBEsol structure

Cell and atoms, written as POSCAR:
```
LaTe2C2
1.0
-2.116 2.116 5.636
2.116 -2.116 5.636
2.116 2.116 -5.636
La Te C
1 2 2
Direct
0.000 0.000 0.000
0.250 0.750 0.500
0.750 0.250 0.500
0.443 0.443 0.000
0.557 0.557 0.000
```

- DFT total energy: -27.39 eV per atom
- Density: 6.876 g/cm³
- Crystal system: tetragonal
- Formation energy (no corrections): 0.1695 eV per atom

***

Material: La2YC6
Method: DFT, SCAN
State: single point on PBEsol structure

Cell and atoms, written as POSCAR:
```
La2YC6
1.0
3.738 -1.891 0.000
3.738 1.891 0.000
-1.553 0.000 9.809
La Y C
2 1 6
Direct
0.166 0.166 0.173
0.834 0.834 0.827
0.500 0.500 0.500
0.098 0.098 0.681
0.237 0.237 0.617
0.434 0.434 0.036
0.566 0.566 0.964
0.763 0.763 0.383
0.902 0.902 0.319
```

- DFT total energy: -19.72 eV per atom
- Formation energy from the elements: -0.312 eV/atom
- Density: 5.255 g/cm³
- Crystal system: monoclinic

***

Material: La4YC10
Method: DFT, SCAN
State: single point on PBEsol structure

Cell and atoms, written as POSCAR:
```
La4YC10
1.0
0.000 3.230 13.575
2.719 0.000 13.575
2.719 3.230 0.000
La Y C
4 1 10
Direct
0.099 0.099 0.901
0.301 0.301 0.699
0.699 0.699 0.301
0.901 0.901 0.099
0.500 0.500 0.500
0.099 0.300 0.700
0.101 0.899 0.101
0.300 0.099 0.901
0.304 0.505 0.495
0.495 0.696 0.304
0.505 0.304 0.696
0.696 0.495 0.505
0.700 0.901 0.099
0.899 0.101 0.899
0.901 0.700 0.300
```

- DFT total energy: -20.38 eV per atom
- Formation energy from the elements: -0.291 eV/atom
- Density: 5.324 g/cm³
- Crystal system: orthorhombic

***

Q: Which formula does entry 8 have?
A: LaTbC4

***

Q: Which value of DFT total energy does entry 10 give?
A: -27.39 eV per atom

***

Q: What is the formula in the sixth record?
A: SrLaC2

***

Q: Among the records above, which one has the lowest density?
A: La3TeC